1.
The following is a PBE calculation of a relaxed Pr5NdSn6 crystal, from the Alexandria database.

The space group is C2/m (No. 12) and the conventional cell measures 10.4443, 15.1793 and 5.0208 Å, with angles of 90.00, 118.69 and 90.00 degrees. The inequivalent atoms are Pr at (0.0000, 0.0000, 0.0000), Pr at (0.0000, 0.1667, 0.5000), Pr at (0.0000, 0.3336, 0.0000), Nd at (0.0000, 0.5000, 0.5000), Sn at (0.2493, 0.5000, 0.2494) and Sn at (0.2504, 0.1662, 0.2505).

As for the formation energy from the elements: -0.68 eV/atom. The value obtained for the density of states at the Fermi level is 21.8 states/eV/cell.

=====

2.
The following is a PBE calculation of a relaxed Pr2Nd3Sn crystal, from the Alexandria database.

The space group is Cmmm (No. 65) and the conventional cell measures 4.9782, 15.7470 and 4.9851 Å, with angles of 90.00, 90.00 and 90.00 degrees. The inequivalent atoms are Pr at (0.0000, 0.1604, 0.0000), Nd at (0.0000, 0.0000, 0.5000), Nd at (0.0000, 0.3398, 0.5000) and Sn at (0.0000, 0.5000, 0.0000).

As for the formation energy from the elements: -0.26 eV/atom. The value obtained for the density of states at the Fermi level is 14.6 states/eV/cell.

=====

3.
The following is a PBE calculation of a relaxed Pr5NdSn3 crystal, from the Alexandria database.

The space group is I4/mcm (No. 140) and the conventional cell measures 8.3345, 8.3345 and 16.4466 Å, with angles of 90.00, 90.00 and 90.00 degrees. The inequivalent atoms are Pr at (0.0000, 0.0000, 0.0000), Pr at (0.1994, 0.3006, 0.1344), Nd at (0.0000, 0.5000, 0.2500), Sn at (0.0000, 0.0000, 0.2500) and Sn at (0.1186, 0.3814, 0.5000).

As for the formation energy from the elements: -0.33 eV/atom. The value obtained for the density of states at the Fermi level is 47.4 states/eV/cell. As for the energy above the lowest structure with this stoichiometry: 249 meV/atom.

=====

4.
The following is a PBE calculation of a relaxed Pr4NdSn4 crystal, from the Alexandria database.

The space group is P4_2/n (No. 86, origin choice 2) and the conventional cell measures 9.7441, 9.7441 and 6.4855 Å, with angles of 90.00, 90.00 and 90.00 degrees. The inequivalent atoms are Pr at (0.0449, 0.6653, 0.1213), Nd at (0.2500, 0.2500, 0.2500) and Sn at (0.0261, 0.6375, 0.6157).

As for the formation energy from the elements: -0.48 eV/atom. The value obtained for the density of states at the Fermi level is 17.1 states/eV/cell.

=====

5.
The following is a PBE calculation of a relaxed Pr2NdSn9 crystal, from the Alexandria database.

The space group is P4/mmm (No. 123) and the conventional cell measures 4.7661, 4.7661 and 14.4941 Å, with angles of 90.00, 90.00 and 90.00 degrees. The inequivalent atoms are Pr at (0.0000, 0.0000, 0.1675), Nd at (0.0000, 0.0000, 0.5000), Sn at (0.0000, 0.5000, 0.0000), Sn at (0.0000, 0.5000, 0.3344), Sn at (0.5000, 0.5000, 0.1672) and Sn at (0.5000, 0.5000, 0.5000).

As for the formation energy from the elements: -0.50 eV/atom. The value obtained for the density of states at the Fermi level is 8.3 states/eV/cell.

=====

6.
The following is a PBE calculation of a relaxed Pr5Nd8Sn crystal, from the Alexandria database.

The space group is C2 (No. 5) and the conventional cell measures 14.8796, 9.0897 and 10.5175 Å, with angles of 90.00, 134.90 and 90.00 degrees. The inequivalent atoms are Pr at (0.0000, 0.0000, 0.0000), Pr at (0.0610, 0.6371, 0.9042), Pr at (0.1564, 0.3629, 0.2180), Nd at (0.0219, 0.9355, 0.6804), Nd at (0.1584, 0.5653, 0.6362), Nd at (0.1606, 0.2900, 0.9089), Nd at (0.2488, 0.2106, 0.5892) and Sn at (0.0000, 0.2507, 0.5000).

As for the formation energy from the elements: 0.10 eV/atom. The value obtained for the density of states at the Fermi level is 42.9 states/eV/cell.

=====

7.
The following is a PBE calculation of a relaxed Pr4NdSn15 crystal, from the Alexandria database.

The space group is P4/mmm (No. 123) and the conventional cell measures 4.7173, 4.7173 and 24.6979 Å, with angles of 90.00, 90.00 and 90.00 degrees. The inequivalent atoms are Pr at (0.0000, 0.0000, 0.1001), Pr at (0.0000, 0.0000, 0.3002), Nd at (0.0000, 0.0000, 0.5000), Sn at (0.0000, 0.5000, 0.0000), Sn at (0.0000, 0.5000, 0.2002), Sn at (0.0000, 0.5000, 0.4006), Sn at (0.5000, 0.5000, 0.1000), Sn at (0.5000, 0.5000, 0.3004) and Sn at (0.5000, 0.5000, 0.5000).

As for the formation energy from the elements: -0.50 eV/atom. The value obtained for the density of states at the Fermi level is 8.4 states/eV/cell.

=====

8.
The following is a PBE calculation of a relaxed Pr6NdSn crystal, from the Alexandria database.

The space group is P4/mmm (No. 123) and the conventional cell measures 5.0566, 5.0566 and 10.5127 Å, with angles of 90.00, 90.00 and 90.00 degrees. The inequivalent atoms are Pr at (0.0000, 0.0000, 0.0000), Pr at (0.0000, 0.0000, 0.5000), Pr at (0.0000, 0.5000, 0.2387), Nd at (0.5000, 0.5000, 0.5000) and Sn at (0.5000, 0.5000, 0.0000).

As for the formation energy from the elements: -0.20 eV/atom. The value obtained for the density of states at the Fermi level is 8.0 states/eV/cell.

=====

9.
The following is a PBE calculation of a relaxed PrNd6Sn crystal, from the Alexandria database.

The space group is P4/mmm (No. 123) and the conventional cell measures 5.0257, 5.0257 and 10.4555 Å, with angles of 90.00, 90.00 and 90.00 degrees. The inequivalent atoms are Pr at (0.0000, 0.0000, 0.0000), Nd at (0.0000, 0.5000, 0.2616), Nd at (0.5000, 0.5000, 0.0000), Nd at (0.5000, 0.5000, 0.5000) and Sn at (0.0000, 0.0000, 0.5000).

As for the formation energy from the elements: -0.19 eV/atom. The value obtained for the density of states at the Fermi level is 8.7 states/eV/cell.

=====

10.
The following is a PBE calculation of a relaxed Pr8Nd2Sn3 crystal, from the Alexandria database.

The space group is R-3m (No. 166, hexagonal axes) and the conventional cell measures 6.6076, 6.6076 and 36.0066 Å, with angles of 90.00, 90.00 and 120.00 degrees. The inequivalent atoms are Pr at (0.0000, 0.0000, 0.2206), Pr at (0.0010, 0.5005, 0.2829), Nd at (0.0000, 0.0000, 0.1346), Sn at (0.0000, 0.0000, 0.3076) and Sn at (0.0000, 0.0000, 0.5000).

As for the formation energy from the elements: -0.03 eV/atom. The value obtained for the density of states at the Fermi level is 60.6 states/eV/cell.

=====

11.
The following is a PBE calculation of a relaxed Pr5NdSn4 crystal, from the Alexandria database.

The space group is C2/m (No. 12) and the conventional cell measures 16.7002, 5.5292 and 7.3461 Å, with angles of 90.00, 90.15 and 90.00 degrees. The inequivalent atoms are Pr at (0.0000, 0.0000, 0.0000), Pr at (0.1661, 0.5000, 0.9936), Pr at (0.1666, 0.5000, 0.5079), Nd at (0.0000, 0.0000, 0.5000), Sn at (0.0084, 0.5000, 0.2520) and Sn at (0.1749, 0.0000, 0.7499).

As for the formation energy from the elements: -0.57 eV/atom. The value obtained for the density of states at the Fermi level is 13.4 states/eV/cell.

=====

12.
The following is a PBE calculation of a relaxed PrNd12Sn3 crystal, from the Alexandria database.

The space group is P4/mmm (No. 123) and the conventional cell measures 4.9870, 4.9870 and 20.3771 Å, with angles of 90.00, 90.00 and 90.00 degrees. The inequivalent atoms are Pr at (0.0000, 0.0000, 0.0000), Nd at (0.0000, 0.5000, 0.1354), Nd at (0.0000, 0.5000, 0.3794), Nd at (0.5000, 0.5000, 0.0000), Nd at (0.5000, 0.5000, 0.2591), Nd at (0.5000, 0.5000, 0.5000), Sn at (0.0000, 0.0000, 0.2567) and Sn at (0.0000, 0.0000, 0.5000).

As for the formation energy from the elements: -0.32 eV/atom. The value obtained for the density of states at the Fermi level is 16.9 states/eV/cell.

=====

13.
The following is a PBE calculation of a relaxed Pr2Nd3Sn4 crystal, from the Alexandria database.

The space group is P2_1/c (No. 14) and the conventional cell measures 8.5529, 8.5798 and 8.2198 Å, with angles of 90.00, 110.15 and 90.00 degrees. The inequivalent atoms are Pr at (0.1940, 0.1808, 0.0667), Nd at (0.2454, 0.6710, 0.2403), Nd at (0.5000, 0.0000, 0.5000), Sn at (0.0811, 0.5359, 0.8399) and Sn at (0.4853, 0.1329, 0.8670).

As for the formation energy from the elements: -0.77 eV/atom. The value obtained for the density of states at the Fermi level is 16.8 states/eV/cell. As for the energy above the lowest structure with this stoichiometry: 0 meV/atom.

=====

14.
The following is a PBE calculation of a relaxed Pr2NdSn3 crystal, from the Alexandria database.

The space group is Immm (No. 71) and the conventional cell measures 4.5778, 6.4327 and 13.5852 Å, with angles of 90.00, 90.00 and 90.00 degrees. The inequivalent atoms are Pr at (0.0000, 0.0000, 0.1674), Nd at (0.0000, 0.0000, 0.5000), Sn at (0.0000, 0.5000, 0.1651) and Sn at (0.0000, 0.5000, 0.5000).

As for the formation energy from the elements: -0.56 eV/atom. The value obtained for the density of states at the Fermi level is 10.6 states/eV/cell.

=====

15.
The following is a PBE calculation of a relaxed Pr3NdSn12 crystal, from the Alexandria database.

The space group is P4/mmm (No. 123) and the conventional cell measures 4.8079, 4.8079 and 18.9740 Å, with angles of 90.00, 90.00 and 90.00 degrees. The inequivalent atoms are Pr at (0.0000, 0.0000, 0.0000), Pr at (0.0000, 0.0000, 0.2509), Nd at (0.0000, 0.0000, 0.5000), Sn at (0.0000, 0.5000, 0.1255), Sn at (0.0000, 0.5000, 0.3761), Sn at (0.5000, 0.5000, 0.0000), Sn at (0.5000, 0.5000, 0.2509) and Sn at (0.5000, 0.5000, 0.5000).

As for the formation energy from the elements: -0.51 eV/atom. The value obtained for the density of states at the Fermi level is 9.7 states/eV/cell.

=====

16.
The following is a PBE calculation of a relaxed Pr3NdSn3 crystal, from the Alexandria database.

The space group is P6_3/m (No. 176) and the conventional cell measures 9.7015, 9.7015 and 6.2933 Å, with angles of 90.00, 90.00 and 120.00 degrees. The inequivalent atoms are Pr at (0.0158, 0.3194, 0.2500), Nd at (0.3333, 0.6667, 0.7500) and Sn at (0.0062, 0.6503, 0.2500).

As for the formation energy from the elements: -0.47 eV/atom. The value obtained for the density of states at the Fermi level is 3.5 states/eV/cell.

=====

17.
The following is a PBE calculation of a relaxed PrNd2Sn2 crystal, from the Alexandria database.

The space group is P6_3/mmc (No. 194) and the conventional cell measures 5.2373, 5.2373 and 13.2619 Å, with angles of 90.00, 90.00 and 120.00 degrees. The inequivalent atoms are Pr at (0.0000, 0.0000, 0.2500), Nd at (0.0000, 0.0000, 0.0000), Nd at (0.3333, 0.6667, 0.2500) and Sn at (0.3333, 0.6667, 0.6286).

As for the formation energy from the elements: -0.32 eV/atom. The value obtained for the density of states at the Fermi level is 10.6 states/eV/cell. As for the energy above the lowest structure with this stoichiometry: 262 meV/atom.

=====

18.
The following is a PBE calculation of a relaxed Pr4NdSn3 crystal, from the Alexandria database.

The space group is I4/mcm (No. 140) and the conventional cell measures 12.6477, 12.6477 and 6.2721 Å, with angles of 90.00, 90.00 and 90.00 degrees. The inequivalent atoms are Pr at (0.0835, 0.2177, 0.0000), Nd at (0.0000, 0.5000, 0.2500), Sn at (0.0000, 0.0000, 0.2500) and Sn at (0.1601, 0.3399, 0.5000).

As for the formation energy from the elements: -0.68 eV/atom. The value obtained for the density of states at the Fermi level is 37.7 states/eV/cell. As for the energy above the lowest structure with this stoichiometry: 0 meV/atom.

=====

19.
The following is a PBE calculation of a relaxed Pr8NdSn2 crystal, from the Alexandria database.

The space group is C2/m (No. 12) and the conventional cell measures 17.0331, 6.9055 and 6.4764 Å, with angles of 90.00, 93.29 and 90.00 degrees. The inequivalent atoms are Pr at (0.0835, 0.0000, 0.4039), Pr at (0.1011, 0.2477, 0.9087), Pr at (0.2121, 0.5000, 0.3352), Nd at (0.0000, 0.5000, 0.5000) and Sn at (0.2419, 0.0000, 0.1704).

As for the formation energy from the elements: -0.19 eV/atom. The value obtained for the density of states at the Fermi level is 30.3 states/eV/cell.

=====

20.
The following is a PBE calculation of a relaxed Pr7NdSn4 crystal, from the Alexandria database.

The space group is C2/m (No. 12) and the conventional cell measures 14.3214, 5.9533 and 11.3238 Å, with angles of 90.00, 124.82 and 90.00 degrees. The inequivalent atoms are Pr at (0.0000, 0.0000, 0.0000), Pr at (0.0578, 0.5000, 0.3719), Pr at (0.1843, 0.0000, 0.6098), Pr at (0.2094, 0.5000, 0.8872), Nd at (0.0000, 0.5000, 0.0000), Sn at (0.0640, 0.0000, 0.7648) and Sn at (0.1972, 0.0000, 0.3275).

As for the formation energy from the elements: -0.32 eV/atom. The value obtained for the density of states at the Fermi level is 23.2 states/eV/cell.